A geometry-optimized ReRh2Pb structure. Source: Alexandria via LeMat-Bulk, functional PBE.

Unit cell a=4.8826 b=4.8826 c=4.8826 alpha=130.63 beta=130.63 gamma=72.41
Sites, in units of the cell vectors:
Rh  0.2500  0.7500  0.5000
Rh  0.0000  0.0000  0.0000
Re  0.7500  0.2500  0.5000
Pb  0.5000  0.5000  0.0000

Output
DFT total energy = -7.289 eV per atom
Energy relative to the elements = 1.7 eV/f.u.
Space-group type = I-4m2 (119)
DOS(E_F) = 3.7 states/eV per cell